(1)
This record from Alexandria via LeMat-Bulk describes a geometry-optimized Ac3Y2Pb3 structure. The functional is PBE.

Cell lengths 12.338, 12.338, 12.338 Å; angles 158.74, 155.60, 32.58 degrees
Positions (direct):
Ac 0.000 0.000 0.000
Ac 0.379 0.879 0.500
Ac 0.621 0.121 0.500
Y 0.252 0.252 0.000
Y 0.748 0.748 0.000
Pb 0.152 0.652 0.500
Pb 0.500 0.500 0.000
Pb 0.848 0.348 0.500

Computed properties:
* raw total energy: -4.95 eV per atom
* magnetization: 0.4 μB per cell
* DOS at the Fermi energy: 9.3 states/eV/f.u.


(2)
This record from Alexandria via LeMat-Bulk describes a geometry-optimized RbMoRhC2 structure. The functional is PBE.

Cell lengths 4.053, 4.053, 6.456 Å; angles 90.00, 90.00, 90.00 degrees
Positions (direct):
Rb 0.000 0.000 0.000
Mo 0.000 0.000 0.500
Rh 0.500 0.500 0.000
C 0.000 0.500 0.500
C 0.500 0.000 0.500

Computed properties:
* raw total energy: -5.29 eV per atom
* magnetization: 1.7 μB per cell
* DOS at the Fermi energy: 5.6 states/eV/f.u.


(3)
This record from Alexandria via LeMat-Bulk describes a geometry-optimized PmPrZn structure. The functional is PBE.

Cell lengths 5.103, 5.103, 5.103 Å; angles 60.00, 60.00, 60.00 degrees
Positions (direct):
Pm 0.000 0.000 0.000
Pr 0.500 0.500 0.500
Zn 0.750 0.750 0.750

Computed properties:
* raw total energy: -3.57 eV per atom
* magnetization: 0.0 μB per cell
* DOS at the Fermi energy: 6.0 states/eV/f.u.


(4)
This record from Alexandria via LeMat-Bulk describes a geometry-optimized Ag3SnBi3Se8 structure. The functional is PBE.

Cell lengths 8.219, 8.219, 8.219 Å; angles 60.68, 60.68, 60.68 degrees
Positions (direct):
Ag 0.000 0.500 0.500
Ag 0.500 0.000 0.500
Ag 0.500 0.500 0.000
Sn 0.500 0.500 0.500
Bi 0.000 0.000 0.500
Bi 0.000 0.500 0.000
Bi 0.500 0.000 0.000
Se 0.254 0.254 0.254
Se 0.263 0.263 0.727
Se 0.263 0.727 0.263
Se 0.273 0.737 0.737
Se 0.727 0.263 0.263
Se 0.737 0.273 0.737
Se 0.737 0.737 0.273
Se 0.746 0.746 0.746

Computed properties:
* formation energy (no corrections): -4.29 eV per formula unit
* magnetization: 0.0 μB per cell
* DOS at the Fermi energy: 0.9 states/eV/f.u.


(5)
This record from Alexandria via LeMat-Bulk describes a geometry-optimized TmPaP structure. The functional is PBE.

Cell lengths 3.696, 3.696, 6.434 Å; angles 90.00, 90.00, 120.00 degrees
Positions (direct):
Tm 0.000 0.000 0.000
Pa 0.667 0.333 0.530
P 0.333 0.667 0.260

Computed properties:
* raw total energy: -7.10 eV per atom
* magnetization: 1.2 μB per cell
* DOS at the Fermi energy: 4.3 states/eV/f.u.


(6)
This record from Alexandria via LeMat-Bulk describes a geometry-optimized Ni2AuSe structure. The functional is PBE.

Cell lengths 3.010, 3.022, 6.283 Å; angles 90.00, 90.00, 90.00 degrees
Positions (direct):
Ni 0.000 0.000 0.218
Ni 0.000 0.000 0.782
Au 0.500 0.500 0.500
Se 0.500 0.500 0.000

Computed properties:
* formation energy (no corrections): 0.29 eV per formula unit
* magnetization: 0.0 μB per cell
* DOS at the Fermi energy: 2.8 states/eV/f.u.


(7)
This record from Alexandria via LeMat-Bulk describes a geometry-optimized Na3LiZr structure. The functional is PBE.

Cell lengths 6.159, 6.159, 6.159 Å; angles 90.00, 90.00, 90.00 degrees
Positions (direct):
Na 0.000 0.000 0.500
Na 0.000 0.500 0.000
Na 0.500 0.000 0.000
Li 0.500 0.500 0.500
Zr 0.000 0.000 0.000

Computed properties:
* raw total energy: -1.75 eV per atom
* magnetization: 4.1 μB per cell
* DOS at the Fermi energy: 9.5 states/eV/f.u.


(8)
This record from Alexandria via LeMat-Bulk describes a geometry-optimized SrBeRh3 structure. The functional is PBE.

Cell lengths 4.897, 4.897, 4.897 Å; angles 90.00, 90.00, 90.00 degrees
Positions (direct):
Sr 0.000 0.000 0.000
Be 0.500 0.500 0.500
Rh 0.000 0.000 0.500
Rh 0.000 0.500 0.000
Rh 0.500 0.000 0.000

Computed properties:
* raw total energy: -3.39 eV per atom
* magnetization: 1.0 μB per cell
* DOS at the Fermi energy: 5.1 states/eV/f.u.


(9)
This record from Alexandria via LeMat-Bulk describes a geometry-optimized SrAlN3 structure. The functional is PBE.

Cell lengths 4.774, 4.774, 4.774 Å; angles 90.00, 90.00, 90.00 degrees
Positions (direct):
Sr 0.000 0.000 0.000
Al 0.500 0.500 0.500
N 0.000 0.000 0.500
N 0.000 0.500 0.000
N 0.500 0.000 0.000

Computed properties:
* formation energy (no corrections): 10.78 eV per formula unit
* magnetization: 6.0 μB per cell
* DOS at the Fermi energy: 2.3 states/eV/f.u.